A plane-wave DFT calculation with PBE was carried out for VPdRh2 after structural relaxation.

Unit cell a=2.7461 b=2.7461 c=8.2489 alpha=99.58 beta=99.58 gamma=90.00
Fractional positions:
V1 0.7042 0.2042 0.4085
Rh1 0.1011 0.6011 0.2022
Rh2 0.3130 0.8130 0.6260
Pd1 0.9402 0.4402 0.8803

Summary:
Its volume is 60.46 Å³/cell. Its symmetry is I4mm. The formation enthalpy at 0 K is -0.104 eV per atom. The calculation puts the size of the total moment at 0.0 μB per formula unit.